Crystalline BaCdW2 at its relaxed geometry, computed with PBE-GGA.

Unit cell a=5.143 b=4.209 c=4.209 alpha=90.00 beta=90.00 gamma=90.00
Element x y z (fractional)
W1 0.000 0.000 0.000
W2 0.000 0.500 0.500
Cd1 0.500 0.000 0.500
Ba1 0.500 0.500 0.000

Computed properties:
energy of formation from the pure elements = 6.2 eV/f.u.
uncorrected energy = -5.62 eV per atom